(1)
{
  "formula": "CaTmAlZn",
  "functional": "PBE-GGA",
  "state": "relaxed",
  "cell": [[-4.546, -1.888, -1.373], [-0.271, -3.737, -3.476], [-1.341, -4.721, 1.423]],
  "species": ["Ca", "Tm", "Zn", "Al"],
  "frac_coords": [[0.250, 0.250, 0.250], [0.750, 0.750, 0.750], [0.000, 0.000, 0.000], [0.500, 0.500, 0.500]],
  "energy_ev_per_atom": -3.153,
  "formation_energy_ev_per_atom": -0.281,
  "total_magnetization_mub_per_cell": 0.0
}

***

(2)
{
  "formula": "NpZnFeH6",
  "functional": "PBE-GGA",
  "state": "relaxed",
  "cell": [[4.383, 0.000, 0.000], [2.191, 3.795, 0.000], [0.000, 0.000, 4.268]],
  "species": ["H", "H", "Np", "Zn", "Fe", "H", "H", "H", "H"],
  "frac_coords": [[0.482, 0.036, 0.227], [0.482, 0.482, 0.227], [0.000, 0.000, 0.000], [0.667, 0.667, 0.500], [0.333, 0.333, 0.500], [0.482, 0.482, 0.773], [0.036, 0.482, 0.773], [0.482, 0.036, 0.773], [0.036, 0.482, 0.227]],
  "energy_ev_per_atom": -4.813,
  "total_magnetization_mub_per_cell": 3.8
}